Record 1
Entry from Alexandria: SrLiRu2 after structural relaxation (GGA-PBE).

offset from the most stable computed form: 177.0 meV/atom

CIF file:
```
data_SrLiRu2
_chemical_formula_sum 'Sr1 Li1 Ru2'
_cell_length_a 3.7223
_cell_length_b 2.9526
_cell_length_c 7.7852
_cell_angle_alpha 68.11
_cell_angle_beta 90.00
_cell_angle_gamma 90.00
_symmetry_space_group_name_H-M 'P 1'
_symmetry_Int_Tables_number 1
loop_
_symmetry_equiv_pos_as_xyz
'x,y,z'
loop_
_atom_site_label
_atom_site_type_symbol
_atom_site_fract_x
_atom_site_fract_y
_atom_site_fract_z
Ru1 Ru 0.5000 0.3291 0.1703
Ru2 Ru 0.0000 0.9661 0.0318
Sr1 Sr 0.0000 0.5291 0.4754
Li1 Li 0.5000 0.6756 0.8224
```

=====

Record 2
Entry from Alexandria: SrLi3Ru after structural relaxation (GGA-PBE).

offset from the most stable computed form: 1071.8 meV/atom

CIF file:
```
data_SrLi3Ru
_chemical_formula_sum 'Sr1 Li3 Ru1'
_cell_length_a 4.6923
_cell_length_b 4.6923
_cell_length_c 4.6923
_cell_angle_alpha 90.00
_cell_angle_beta 90.00
_cell_angle_gamma 90.00
_symmetry_space_group_name_H-M 'P 1'
_symmetry_Int_Tables_number 1
loop_
_symmetry_equiv_pos_as_xyz
'x,y,z'
loop_
_atom_site_label
_atom_site_type_symbol
_atom_site_fract_x
_atom_site_fract_y
_atom_site_fract_z
Sr1 Sr 0.0000 0.0000 0.0000
Li1 Li 0.5000 0.0000 0.0000
Li2 Li 0.0000 0.0000 0.5000
Li3 Li 0.0000 0.5000 0.0000
Ru1 Ru 0.5000 0.5000 0.5000
```

=====

Record 3
Entry from Alexandria: SrLiRu2 after structural relaxation (GGA-PBE).

offset from the most stable computed form: 742.6 meV/atom

CIF file:
```
data_SrLiRu2
_chemical_formula_sum 'Sr1 Li1 Ru2'
_cell_length_a 4.6897
_cell_length_b 4.6897
_cell_length_c 4.6897
_cell_angle_alpha 60.00
_cell_angle_beta 60.00
_cell_angle_gamma 60.00
_symmetry_space_group_name_H-M 'P 1'
_symmetry_Int_Tables_number 1
loop_
_symmetry_equiv_pos_as_xyz
'x,y,z'
loop_
_atom_site_label
_atom_site_type_symbol
_atom_site_fract_x
_atom_site_fract_y
_atom_site_fract_z
Ru1 Ru 0.2500 0.2500 0.2500
Ru2 Ru 0.7500 0.7500 0.7500
Sr1 Sr 0.5000 0.5000 0.5000
Li1 Li 0.0000 0.0000 0.0000
```

=====

Record 4
Entry from Alexandria: SrLiTaRu2 after structural relaxation (GGA-PBE).

CIF file:
```
data_SrLiTaRu2
_chemical_formula_sum 'Sr1 Li1 Ta1 Ru2'
_cell_length_a 4.5964
_cell_length_b 4.0852
_cell_length_c 4.5964
_cell_angle_alpha 90.00
_cell_angle_beta 90.00
_cell_angle_gamma 90.00
_symmetry_space_group_name_H-M 'P 1'
_symmetry_Int_Tables_number 1
loop_
_symmetry_equiv_pos_as_xyz
'x,y,z'
loop_
_atom_site_label
_atom_site_type_symbol
_atom_site_fract_x
_atom_site_fract_y
_atom_site_fract_z
Ta1 Ta 0.5000 0.5000 0.5000
Li1 Li 0.0000 0.0000 0.0000
Ru1 Ru 0.5000 0.0000 0.0000
Ru2 Ru 0.0000 0.0000 0.5000
Sr1 Sr 0.0000 0.5000 0.0000
```

=====

Record 5
Entry from Alexandria: Sr2LiTcRu after structural relaxation (GGA-PBE).

CIF file:
```
data_Sr2LiTcRu
_chemical_formula_sum 'Sr2 Li1 Tc1 Ru1'
_cell_length_a 5.4886
_cell_length_b 4.7191
_cell_length_c 5.4886
_cell_angle_alpha 90.00
_cell_angle_beta 90.00
_cell_angle_gamma 90.00
_symmetry_space_group_name_H-M 'P 1'
_symmetry_Int_Tables_number 1
loop_
_symmetry_equiv_pos_as_xyz
'x,y,z'
loop_
_atom_site_label
_atom_site_type_symbol
_atom_site_fract_x
_atom_site_fract_y
_atom_site_fract_z
Li1 Li 0.0000 0.5000 0.0000
Tc1 Tc 0.0000 0.0000 0.0000
Sr1 Sr 0.5000 0.0000 0.0000
Sr2 Sr 0.0000 0.0000 0.5000
Ru1 Ru 0.5000 0.5000 0.5000
```

=====

Record 6
Entry from Alexandria: SrLiTl2Ru after structural relaxation (GGA-PBE).

CIF file:
```
data_SrLiTl2Ru
_chemical_formula_sum 'Sr1 Li1 Tl2 Ru1'
_cell_length_a 5.9851
_cell_length_b 5.3376
_cell_length_c 5.9851
_cell_angle_alpha 90.00
_cell_angle_beta 90.00
_cell_angle_gamma 90.00
_symmetry_space_group_name_H-M 'P 1'
_symmetry_Int_Tables_number 1
loop_
_symmetry_equiv_pos_as_xyz
'x,y,z'
loop_
_atom_site_label
_atom_site_type_symbol
_atom_site_fract_x
_atom_site_fract_y
_atom_site_fract_z
Tl1 Tl 0.5000 0.0000 0.0000
Tl2 Tl 0.0000 0.0000 0.5000
Ru1 Ru 0.5000 0.5000 0.5000
Li1 Li 0.0000 0.5000 0.0000
Sr1 Sr 0.0000 0.0000 0.0000
```

=====

Record 7
Entry from Alexandria: Li3TaRu after structural relaxation (GGA-PBE).

offset from the most stable computed form: 0.0 meV/atom

CIF file:
```
data_Li3TaRu
_chemical_formula_sum 'Li3 Ta1 Ru1'
_cell_length_a 4.2605
_cell_length_b 4.2605
_cell_length_c 4.2605
_cell_angle_alpha 90.00
_cell_angle_beta 90.00
_cell_angle_gamma 90.00
_symmetry_space_group_name_H-M 'P 1'
_symmetry_Int_Tables_number 1
loop_
_symmetry_equiv_pos_as_xyz
'x,y,z'
loop_
_atom_site_label
_atom_site_type_symbol
_atom_site_fract_x
_atom_site_fract_y
_atom_site_fract_z
Ta1 Ta 0.5000 0.5000 0.5000
Ru1 Ru 0.0000 0.0000 0.0000
Li1 Li 0.5000 0.0000 0.0000
Li2 Li 0.0000 0.0000 0.5000
Li3 Li 0.0000 0.5000 0.0000
```

=====

Record 8
Entry from Alexandria: LiTa3Ru after structural relaxation (GGA-PBE).

offset from the most stable computed form: 0.0 meV/atom

CIF file:
```
data_LiTa3Ru
_chemical_formula_sum 'Li1 Ta3 Ru1'
_cell_length_a 4.8273
_cell_length_b 4.8273
_cell_length_c 4.8273
_cell_angle_alpha 90.00
_cell_angle_beta 90.00
_cell_angle_gamma 90.00
_symmetry_space_group_name_H-M 'P 1'
_symmetry_Int_Tables_number 1
loop_
_symmetry_equiv_pos_as_xyz
'x,y,z'
loop_
_atom_site_label
_atom_site_type_symbol
_atom_site_fract_x
_atom_site_fract_y
_atom_site_fract_z
Ta1 Ta 0.0000 0.5000 0.0000
Ta2 Ta 0.5000 0.0000 0.0000
Ta3 Ta 0.0000 0.0000 0.5000
Ru1 Ru 0.0000 0.0000 0.0000
Li1 Li 0.5000 0.5000 0.5000
```

=====

Record 9
Entry from Alexandria: LiTa5Ru6 after structural relaxation (GGA-PBE).

CIF file:
```
data_LiTa5Ru6
_chemical_formula_sum 'Li1 Ta5 Ru6'
_cell_length_a 4.4429
_cell_length_b 7.6925
_cell_length_c 7.6925
_cell_angle_alpha 119.86
_cell_angle_beta 106.84
_cell_angle_gamma 106.84
_symmetry_space_group_name_H-M 'P 1'
_symmetry_Int_Tables_number 1
loop_
_symmetry_equiv_pos_as_xyz
'x,y,z'
loop_
_atom_site_label
_atom_site_type_symbol
_atom_site_fract_x
_atom_site_fract_y
_atom_site_fract_z
Ta1 Ta 0.0000 0.6632 0.3368
Ta2 Ta 0.0000 0.3368 0.6632
Ta3 Ta 0.5000 0.5000 0.5000
Ta4 Ta 0.5000 0.8369 0.1631
Ta5 Ta 0.5000 0.1631 0.8369
Li1 Li 0.0000 0.0000 0.0000
Ru1 Ru 0.2486 0.4168 0.0804
Ru2 Ru 0.7514 0.5832 0.9196
Ru3 Ru 0.2486 0.0804 0.4168
Ru4 Ru 0.2533 0.7536 0.7536
Ru5 Ru 0.7467 0.2464 0.2464
Ru6 Ru 0.7514 0.9196 0.5832
```

=====

Record 10
Entry from Alexandria: LiTaRu4 after structural relaxation (GGA-PBE).

CIF file:
```
data_LiTaRu4
_chemical_formula_sum 'Li1 Ta1 Ru4'
_cell_length_a 5.0786
_cell_length_b 5.0786
_cell_length_c 5.0786
_cell_angle_alpha 60.00
_cell_angle_beta 60.00
_cell_angle_gamma 60.00
_symmetry_space_group_name_H-M 'P 1'
_symmetry_Int_Tables_number 1
loop_
_symmetry_equiv_pos_as_xyz
'x,y,z'
loop_
_atom_site_label
_atom_site_type_symbol
_atom_site_fract_x
_atom_site_fract_y
_atom_site_fract_z
Ru1 Ru 0.6252 0.6252 0.1244
Ru2 Ru 0.6252 0.6252 0.6252
Ru3 Ru 0.1244 0.6252 0.6252
Ru4 Ru 0.6252 0.1244 0.6252
Ta1 Ta 0.2500 0.2500 0.2500
Li1 Li 0.0000 0.0000 0.0000
```

=====

Record 11
Entry from Alexandria: LiTa3Ru after structural relaxation (GGA-PBE).

offset from the most stable computed form: 65.5 meV/atom

CIF file:
```
data_LiTa3Ru
_chemical_formula_sum 'Li1 Ta3 Ru1'
_cell_length_a 4.3481
_cell_length_b 4.3481
_cell_length_c 4.3481
_cell_angle_alpha 90.00
_cell_angle_beta 90.00
_cell_angle_gamma 90.00
_symmetry_space_group_name_H-M 'P 1'
_symmetry_Int_Tables_number 1
loop_
_symmetry_equiv_pos_as_xyz
'x,y,z'
loop_
_atom_site_label
_atom_site_type_symbol
_atom_site_fract_x
_atom_site_fract_y
_atom_site_fract_z
Ta1 Ta 0.5000 0.0000 0.0000
Ta2 Ta 0.0000 0.0000 0.5000
Ta3 Ta 0.0000 0.5000 0.0000
Li1 Li 0.0000 0.0000 0.0000
Ru1 Ru 0.5000 0.5000 0.5000
```

=====

Record 12
Entry from Alexandria: LiTaRu3 after structural relaxation (GGA-PBE).

offset from the most stable computed form: 0.0 meV/atom

CIF file:
```
data_LiTaRu3
_chemical_formula_sum 'Li1 Ta1 Ru3'
_cell_length_a 4.1112
_cell_length_b 4.1112
_cell_length_c 4.1112
_cell_angle_alpha 90.00
_cell_angle_beta 90.00
_cell_angle_gamma 90.00
_symmetry_space_group_name_H-M 'P 1'
_symmetry_Int_Tables_number 1
loop_
_symmetry_equiv_pos_as_xyz
'x,y,z'
loop_
_atom_site_label
_atom_site_type_symbol
_atom_site_fract_x
_atom_site_fract_y
_atom_site_fract_z
Ru1 Ru 0.0000 0.0000 0.5000
Ru2 Ru 0.5000 0.0000 0.0000
Ru3 Ru 0.0000 0.5000 0.0000
Ta1 Ta 0.5000 0.5000 0.5000
Li1 Li 0.0000 0.0000 0.0000
```

=====

| no. | total magnetization (μB/cell) | calculated total energy (eV per atom) |
| --- | --- | --- |
| 1 | 0.0 | -5.17 |
| 2 | 1.0 | -1.85 |
| 3 | 2.3 | -4.60 |
| 4 | 0.0 | -5.66 |
| 5 | 2.9 | -3.59 |
| 6 | 2.3 | -1.98 |
| 7 | 0.0 | -4.10 |
| 8 | 0.0 | -8.25 |
| 9 | 0.0 | -10.12 |
| 10 | 0.0 | -8.34 |
| 11 | 0.0 | -8.18 |
| 12 | 0.0 | -7.75 |